The following is a DFT calculation (PBE) of a relaxed Ti2BAs crystal.

The space group is R-3m (No. 166, hexagonal axes) and the conventional cell measures 3.3256, 3.3256 and 17.9065 Å, with angles of 90.00, 90.00 and 120.00 degrees. Symmetry generates all atoms from Ti at (0.0000, 0.0000, 0.2354), B at (0.0000, 0.0000, 0.5000) and As at (0.0000, 0.0000, 0.0000).

Its calculated volume is 57 Å³/f.u. The magnetic moment comes out at 0.0 μB/f.u. The calculation puts the formation energy from the elements at -0.67 eV per atom. Its total energy is -7.450 eV/atom.

The following is a DFT calculation (PBE) of a relaxed Ba2Hg7Pb2 crystal.

The space group is C2/m (No. 12) and the conventional cell measures 10.578, 11.356 and 5.922 Å, with angles of 90.00, 104.78 and 90.00 degrees. Symmetry generates all atoms from Ba at (0.232, 0.000, 0.121), Hg at (0.000, 0.000, 0.500), Hg at (0.078, 0.500, 0.308), Hg at (0.179, 0.204, 0.662) and Pb at (0.000, 0.264, 0.000).

Its calculated volume is 344 Å³/f.u. The magnetic moment comes out at 0.0 μB/f.u. The calculation puts the formation energy from the elements at -0.27 eV per atom. Its total energy is -1.488 eV/atom.

The following is a DFT calculation (PBE) of a relaxed PrAlGe2O7 crystal.

The space group is P2_1/c (No. 14) and the conventional cell measures 7.350, 6.610 and 12.926 Å, with angles of 90.00, 117.66 and 90.00 degrees. Symmetry generates all atoms from Pr at (0.238, 0.148, 0.474), Al at (0.214, 0.102, 0.730), Ge at (0.209, 0.658, 0.449), Ge at (0.303, 0.590, 0.719), O at (0.005, 0.661, 0.914), O at (0.161, 0.682, 0.187), O at (0.204, 0.051, 0.864), O at (0.225, 0.116, 0.276), O at (0.248, 0.503, 0.572), O at (0.406, 0.675, 0.975) and O at (0.428, 0.121, 0.698).

Its calculated volume is 139 Å³/f.u. Its formation energy without anion corrections is -2411.1 meV per atom. The magnetic moment comes out at 0.0 μB/f.u. Its total energy is -7.181 eV/atom.

The following is a DFT calculation (PBE) of a relaxed LaBeIrRh2 crystal.

The space group is P4/mmm (No. 123) and the conventional cell measures 4.350, 4.350 and 4.342 Å, with angles of 90.00, 90.00 and 90.00 degrees. Symmetry generates all atoms from La at (0.000, 0.000, 0.000), Be at (0.500, 0.500, 0.500), Ir at (0.500, 0.500, 0.000) and Rh at (0.000, 0.500, 0.500).

Its calculated volume is 82 Å³/f.u. The magnetic moment comes out at 0.0 μB/f.u. The calculation puts the formation energy from the elements at -0.48 eV per atom. Its total energy is -6.924 eV/atom.

The following is a DFT calculation (PBE) of a relaxed BiPbS2 crystal.

The space group is Pnma (No. 62) and the conventional cell measures 5.820, 4.998 and 16.817 Å, with angles of 90.00, 90.00 and 90.00 degrees. Symmetry generates all atoms from Bi at (0.237, 0.250, 0.151), Pb at (0.243, 0.250, 0.942), S at (0.220, 0.750, 0.847) and S at (0.238, 0.250, 0.581).

Its calculated volume is 122 Å³/f.u. Its formation energy without anion corrections is -232.7 meV per atom. The magnetic moment comes out at 0.0 μB/f.u. Its total energy is -4.194 eV/atom.

The following is a DFT calculation (PBE) of a relaxed BaZnAgHg crystal.

The space group is F-43m (No. 216) and the conventional cell measures 7.567, 7.567 and 7.567 Å, with angles of 90.00, 90.00 and 90.00 degrees. Symmetry generates all atoms from Ba at (0.000, 0.000, 0.000), Zn at (0.250, 0.250, 0.750), Ag at (0.000, 0.000, 0.500) and Hg at (0.250, 0.250, 0.250).

Its calculated volume is 108 Å³/f.u. The magnetic moment comes out at 0.0 μB/f.u. The calculation puts the formation energy from the elements at -0.13 eV per atom. Its total energy is -1.718 eV/atom.